Compound: NiPbBr2
Source: Alexandria via LeMat-Bulk
Functional: GGA-PBE
Structure: relaxed

distance to the lowest polymorph of the same formula: 0.218 eV/atom
magnetic moment: 0.95 μB per formula unit
mass density: 6.7 g/cm3

a = 3.784 Å, b = 3.784 Å, c = 8.945 Å
α = 90.00°, β = 90.00°, γ = 124.42°
Each line ends with the local moment (μB).
Sites, in units of the cell vectors:
Ni  0.500  0.500  0.250  0.81
Br  0.000  0.000  0.063  0.05
Br  0.000  0.000  0.437  0.05
Pb  0.500  0.500  0.750  0.00